A) Here is a geometry-optimized Gd2ZnAs structure from Alexandria via LeMat-Bulk. Energies are from PBE.

```
Gd2ZnAs
1.0
3.743 0.000 0.000
0.000 3.743 0.000
0.000 0.000 6.626
As Gd Zn
1 2 1
Cartesian
1.871 1.871 0.000
0.000 0.000 5.028
0.000 0.000 1.598
1.871 1.871 3.313
```

Calculated values
Magnetization, Bohr magnetons per cell: 14.85


B) Here is a geometry-optimized Gd2ZnAs structure from Alexandria via LeMat-Bulk. Energies are from PBE.

```
Gd2ZnAs
1.0
4.078 0.000 0.000
2.039 3.531 0.000
2.039 1.177 7.299
As Gd Zn
1 2 1
Cartesian
0.000 0.000 0.000
6.117 3.531 5.623
2.039 1.177 1.676
4.078 2.354 3.649
```

Calculated values
Magnetization, Bohr magnetons per cell: 14.91


In order of decreasing stability: B), A).